# 1
VASP calculation (PBE-GGA) on a relaxed structure of CdIn2I.

Calculated values
**DFT total energy**: -1.947 eV per atom
**Energy relative to the lowest polymorph listed for this composition**: 10.3 kJ/mol of atoms

a = 8.0104 Å, b = 8.0104 Å, c = 8.0104 Å
α = 90.00°, β = 90.00°, γ = 90.00°
With the nearest neighbours (Å) after each atom.
Space group Fm-3m (No. 225)
One atom of each set of equivalent atoms:
1 Cd 0.0000 0.0000 0.0000 [4 per cell]  8 In 3.47
2 In 0.2500 0.2500 0.2500 [8 per cell]  4 Cd 3.47, 4 I 3.47
3 I 0.0000 0.0000 0.5000 [4 per cell]  8 In 3.47

***

# 2
VASP calculation (PBE-GGA) on a relaxed structure of Cd2InI.

Calculated values
**DFT total energy**: -1.615 eV per atom
**Energy relative to the lowest polymorph listed for this composition**: 0.0 kJ/mol of atoms

a = 4.1457 Å, b = 4.1457 Å, c = 24.5633 Å
α = 90.00°, β = 90.00°, γ = 120.00°
With the nearest neighbours (Å) after each atom.
Space group R-3m (No. 166, hexagonal axes)
One atom of each set of equivalent atoms:
1 Cd 0.0000 0.0000 0.2439 [6 per cell]  3 In 3.05, 3 I 3.25
2 In 0.0000 0.0000 0.5000 [3 per cell]  6 Cd 3.05
3 I 0.0000 0.0000 0.0000 [3 per cell]  6 Cd 3.25

***

# 3
VASP calculation (PBE-GGA) on a relaxed structure of CdIn2I8.

Calculated values
**DFT total energy**: -2.215 eV per atom

a = 13.7860 Å, b = 11.1843 Å, c = 7.2672 Å
α = 90.00°, β = 97.15°, γ = 90.00°
With the nearest neighbours (Å) after each atom.
Space group C2/m (No. 12)
One atom of each set of equivalent atoms:
1 Cd 0.0000 0.0000 0.0000 [2 per cell]  6 I 3.02-3.13
2 In 0.2005 0.0000 0.6531 [4 per cell]  4 I 2.71-2.80
3 I 0.0933 0.1886 0.7816 [8 per cell]  1 In 2.80, 1 Cd 3.02
4 I 0.1074 0.5000 0.2095 [4 per cell]  1 In 2.71
5 I 0.1952 0.0000 0.2700 [4 per cell]  1 In 2.78

***

# 4
VASP calculation (PBE-GGA) on a relaxed structure of Cd2InI4.

Calculated values
**DFT total energy**: -1.859 eV per atom

a = 9.1324 Å, b = 9.1324 Å, c = 7.6286 Å
α = 90.00°, β = 90.00°, γ = 90.00°
With the nearest neighbours (Å) after each atom.
Space group I4/m (No. 87)
One atom of each set of equivalent atoms:
1 Cd 0.0000 0.5000 0.2500 [4 per cell]  4 I 2.97
2 In 0.0000 0.0000 0.0000 [2 per cell]  4 I 3.50
3 I 0.1652 0.3132 0.5000 [8 per cell]  2 Cd 2.97

***

# 5
VASP calculation (PBE-GGA) on a relaxed structure of CdIn2I.

Calculated values
**DFT total energy**: -2.054 eV per atom
**Energy relative to the lowest polymorph listed for this composition**: 0.0 kJ/mol of atoms

a = 4.1122 Å, b = 4.1122 Å, c = 7.3914 Å
α = 90.00°, β = 90.00°, γ = 90.00°
With the nearest neighbours (Å) after each atom.
Space group P4/mmm (No. 123)
One atom of each set of equivalent atoms:
1 Cd 0.0000 0.0000 0.0000 [1 per cell]  8 In 3.33, 2 I 3.70
2 In 0.5000 0.5000 0.2198 [2 per cell]  1 In 3.25, 4 Cd 3.33, 4 I 3.57
3 I 0.0000 0.0000 0.5000 [1 per cell]  8 In 3.57, 2 Cd 3.70

***

# 6
VASP calculation (PBE-GGA) on a relaxed structure of Cd2InI.

Calculated values
**DFT total energy**: -1.561 eV per atom
**Energy relative to the lowest polymorph listed for this composition**: 5.2 kJ/mol of atoms

a = 3.8279 Å, b = 3.8279 Å, c = 7.9947 Å
α = 90.00°, β = 90.00°, γ = 90.00°
With the nearest neighbours (Å) after each atom.
Space group P4/mmm (No. 123)
One atom of each set of equivalent atoms:
1 Cd 0.0000 0.0000 0.2346 [2 per cell]  4 In 3.29, 4 I 3.44
2 In 0.5000 0.5000 0.0000 [1 per cell]  8 Cd 3.29
3 I 0.5000 0.5000 0.5000 [1 per cell]  8 Cd 3.44, 4 I 3.83

***

# 7
VASP calculation (PBE-GGA) on a relaxed structure of CdInI6.

Calculated values
**DFT total energy**: -1.919 eV per atom
**Energy relative to the lowest polymorph listed for this composition**: 3.0 kJ/mol of atoms

a = 7.4508 Å, b = 7.4647 Å, c = 7.5230 Å
α = 88.19°, β = 60.80°, γ = 62.87°
With the nearest neighbours (Å) after each atom.
Space group P-1 (No. 2)
One atom of each set of equivalent atoms:
1 Cd 0.0000 0.0000 0.0000 [1 per cell]  6 I 2.95-3.22
2 In 0.0000 0.5000 0.5000 [1 per cell]  6 I 2.90-3.01
3 I 0.1693 0.2549 0.0866 [2 per cell]  1 Cd 2.95, 1 In 3.01
4 I 0.1811 0.7504 0.2520 [2 per cell]  1 In 2.90, 1 Cd 2.98
5 I 0.4887 0.2468 0.4318 [2 per cell]  1 In 3.01, 1 Cd 3.22

***

# 8
VASP calculation (PBE-GGA) on a relaxed structure of Cd2In2I5.

Calculated values
**DFT total energy**: -2.078 eV per atom

a = 16.0251 Å, b = 6.1205 Å, c = 8.6773 Å
α = 90.00°, β = 116.21°, γ = 90.00°
With the nearest neighbours (Å) after each atom.
Space group C2/m (No. 12)
One atom of each set of equivalent atoms:
1 Cd 0.1433 0.0000 0.3633 [4 per cell]  5 I 2.94-3.12
2 In 0.1132 0.5000 0.7865 [4 per cell]  5 I 3.38-3.70
3 I 0.0000 0.0000 0.5000 [2 per cell]  2 Cd 3.01
4 I 0.1435 0.5000 0.3935 [4 per cell]  3 Cd 3.07-3.12
5 I 0.1517 0.0000 0.0317 [4 per cell]  1 Cd 2.94

***

# 9
VASP calculation (PBE-GGA) on a relaxed structure of Cd5In3I12.

Calculated values
**DFT total energy**: -2.044 eV per atom

a = 19.0292 Å, b = 19.0292 Å, c = 19.0292 Å
α = 90.00°, β = 90.00°, γ = 90.00°
With the nearest neighbours (Å) after each atom.
Space group Ia-3d (No. 230)
One atom of each set of equivalent atoms:
1 Cd 0.0000 0.0000 0.0000 [16 per cell]  6 I 3.10
2 Cd 0.0000 0.2500 0.3750 [24 per cell]  4 I 2.86
3 In 0.0000 0.2500 0.1250 [24 per cell]  8 I 3.69-3.72
4 I 0.0302 0.0582 0.6491 [96 per cell]  2 Cd 2.86-3.10

***

# 10
VASP calculation (PBE-GGA) on a relaxed structure of CdIn2I.

Calculated values
**DFT total energy**: -2.033 eV per atom
**Energy relative to the lowest polymorph listed for this composition**: 2.0 kJ/mol of atoms

a = 4.1039 Å, b = 4.1039 Å, c = 26.5650 Å
α = 90.00°, β = 90.00°, γ = 120.00°
With the nearest neighbours (Å) after each atom.
Space group R3m (No. 160, hexagonal axes)
One atom of each set of equivalent atoms:
1 Cd 0.0000 0.0000 0.0000 [3 per cell]  6 In 3.11
2 In 0.0000 0.0000 0.4094 [3 per cell]  3 Cd 3.11, 3 I 3.44
3 In 0.0000 0.0000 0.5907 [3 per cell]  3 Cd 3.11, 3 I 3.32
4 I 0.0000 0.0000 0.1697 [3 per cell]  6 In 3.32-3.44

***

# 11
VASP calculation (PBE-GGA) on a relaxed structure of CdIn2I.

Calculated values
**DFT total energy**: -2.029 eV per atom
**Energy relative to the lowest polymorph listed for this composition**: 2.4 kJ/mol of atoms

a = 5.7725 Å, b = 5.7725 Å, c = 3.7929 Å
α = 90.00°, β = 90.00°, γ = 90.00°
With the nearest neighbours (Å) after each atom.
Space group P4/mmm (No. 123)
One atom of each set of equivalent atoms:
1 Cd 0.0000 0.0000 0.0000 [1 per cell]  8 In 3.45, 2 Cd 3.79
2 In 0.0000 0.5000 0.5000 [2 per cell]  4 Cd 3.45, 4 I 3.45, 2 In 3.79
3 I 0.5000 0.5000 0.0000 [1 per cell]  8 In 3.45, 2 I 3.79

***

Number 1: E_form (uncorrected) 0.038 eV/atom. Number 2: E_form (uncorrected) -0.086 eV/atom. Number 3: E_form (uncorrected) -0.506 eV/atom. Number 4: E_form (uncorrected) -0.320 eV/atom. Number 5: E_form (uncorrected) -0.068 eV/atom. Number 6: E_form (uncorrected) -0.032 eV/atom. Number 7: E_form (uncorrected) -0.300 eV/atom. Number 8: E_form (uncorrected) -0.405 eV/atom. Number 9: E_form (uncorrected) -0.474 eV/atom. Number 10: E_form (uncorrected) -0.048 eV/atom. Number 11: E_form (uncorrected) -0.044 eV/atom.